This record from the Alexandria database describes crystalline Ac2Ge2Pb at its relaxed geometry. The functional is GGA-PBE.

Values from the calculation:
Calculated volume = 301.4 Å³ per cell
Uncorrected energy = -4.913 eV per atom
Total magnetization = 0.000 Bohr magnetons per cell
Space-group type = P4/mbm (127)
Energy of formation from the pure elements = -0.681 eV/atom

Cell and atoms, written as POSCAR:
```
Ac2Ge2Pb
1.0
8.086 0.000 0.000
0.000 8.086 0.000
0.000 0.000 4.610
Ac Ge Pb
4 4 2
Direct
0.180 0.320 0.000 Ac
0.320 0.820 0.000 Ac
0.680 0.180 0.000 Ac
0.820 0.680 0.000 Ac
0.113 0.613 0.500 Ge
0.387 0.113 0.500 Ge
0.613 0.887 0.500 Ge
0.887 0.387 0.500 Ge
0.000 0.000 0.500 Pb
0.500 0.500 0.500 Pb
```

This record from the Alexandria database describes crystalline Ac7Ge5Pb at its relaxed geometry. The functional is GGA-PBE.

Values from the calculation:
Calculated volume = 438.1 Å³ per cell
Uncorrected energy = -4.734 eV per atom
Total magnetization = 0.000 Bohr magnetons per cell
Space-group type = Imm2 (44)
Energy of formation from the pure elements = -0.461 eV/atom

Cell and atoms, written as POSCAR:
```
Ac7Ge5Pb
1.0
-3.316 6.072 5.439
3.316 -6.072 5.439
3.316 6.072 -5.439
Ac Ge Pb
7 5 1
Direct
0.000 0.000 0.000 Ac
0.378 0.687 0.691 Ac
0.390 0.390 0.000 Ac
0.439 0.104 0.336 Ac
0.768 0.104 0.664 Ac
0.866 0.366 0.500 Ac
0.996 0.687 0.309 Ac
0.142 0.212 0.541 Ge
0.142 0.602 0.930 Ge
0.377 0.877 0.500 Ge
0.671 0.212 0.070 Ge
0.671 0.602 0.459 Ge
0.694 0.694 0.000 Pb
```

This record from the Alexandria database describes crystalline Ac4GePb2 at its relaxed geometry. The functional is GGA-PBE.

Values from the calculation:
Calculated volume = 261.8 Å³ per cell
Uncorrected energy = -4.620 eV per atom
Total magnetization = 0.906 Bohr magnetons per cell
Space-group type = C2/m (12)
Energy of formation from the pure elements = -0.553 eV/atom

Cell and atoms, written as POSCAR:
```
Ac4GePb2
1.0
6.330 -2.509 0.000
6.330 2.509 0.000
-4.959 0.000 8.242
Ac Ge Pb
4 1 2
Direct
0.082 0.082 0.369 Ac
0.324 0.324 0.928 Ac
0.676 0.676 0.072 Ac
0.918 0.918 0.631 Ac
0.000 0.000 0.000 Ge
0.361 0.361 0.340 Pb
0.639 0.639 0.660 Pb
```

This record from the Alexandria database describes crystalline Ac3Ge2Pd9Pb at its relaxed geometry. The functional is GGA-PBE.

Values from the calculation:
Calculated volume = 360.5 Å³ per cell
Uncorrected energy = -5.372 eV per atom
Total magnetization = 0.000 Bohr magnetons per cell
Space-group type = P-3m1 (164)
Energy of formation from the pure elements = -0.572 eV/atom

Cell and atoms, written as POSCAR:
```
Ac3Ge2Pd9Pb
1.0
6.584 0.000 0.000
-3.292 5.702 0.000
0.000 0.000 9.601
Ac Ge Pd Pb
3 2 9 1
Direct
0.000 0.000 0.000 Ac
0.333 0.667 0.716 Ac
0.667 0.333 0.284 Ac
0.333 0.667 0.171 Ge
0.667 0.333 0.829 Ge
0.000 0.500 0.000 Pd
0.143 0.287 0.273 Pd
0.143 0.857 0.273 Pd
0.287 0.143 0.727 Pd
0.500 0.000 0.000 Pd
0.500 0.500 0.000 Pd
0.713 0.857 0.273 Pd
0.857 0.143 0.727 Pd
0.857 0.713 0.727 Pd
0.000 0.000 0.500 Pb
```

This record from the Alexandria database describes crystalline Ac2Ge3Pd4Pb at its relaxed geometry. The functional is GGA-PBE.

Values from the calculation:
Calculated volume = 219.4 Å³ per cell
Uncorrected energy = -5.403 eV per atom
Total magnetization = 0.000 Bohr magnetons per cell
Space-group type = P-4m2 (115)
Energy of formation from the pure elements = -0.748 eV/atom

Cell and atoms, written as POSCAR:
```
Ac2Ge3Pd4Pb
1.0
4.512 0.000 0.000
0.000 4.512 0.000
0.000 0.000 10.778
Ac Ge Pd Pb
2 3 4 1
Direct
0.000 0.500 0.237 Ac
0.500 0.000 0.763 Ac
0.000 0.500 0.883 Ge
0.500 0.000 0.117 Ge
0.500 0.500 0.500 Ge
0.000 0.000 0.000 Pd
0.000 0.500 0.651 Pd
0.500 0.000 0.349 Pd
0.500 0.500 0.000 Pd
0.000 0.000 0.500 Pb
```

This record from the Alexandria database describes crystalline Ac3GePd6Pb2 at its relaxed geometry. The functional is GGA-PBE.

Values from the calculation:
Calculated volume = 288.3 Å³ per cell
Uncorrected energy = -5.329 eV per atom
Total magnetization = 0.000 Bohr magnetons per cell
Space-group type = P-3m1 (164)
Energy of formation from the pure elements = -0.703 eV/atom

Cell and atoms, written as POSCAR:
```
Ac3GePd6Pb2
1.0
6.099 0.000 0.000
-3.050 5.282 0.000
0.000 0.000 8.950
Ac Ge Pd Pb
3 1 6 2
Direct
0.000 0.000 0.000 Ac
0.333 0.667 0.636 Ac
0.667 0.333 0.364 Ac
0.000 0.000 0.500 Ge
0.173 0.346 0.303 Pd
0.173 0.827 0.303 Pd
0.346 0.173 0.697 Pd
0.654 0.827 0.303 Pd
0.827 0.173 0.697 Pd
0.827 0.654 0.697 Pd
0.333 0.667 0.043 Pb
0.667 0.333 0.957 Pb
```

This record from the Alexandria database describes crystalline Ac2GePd6Pb at its relaxed geometry. The functional is GGA-PBE.

Values from the calculation:
Calculated volume = 227.2 Å³ per cell
Uncorrected energy = -5.411 eV per atom
Total magnetization = 0.000 Bohr magnetons per cell
Space-group type = P-1 (2)
Energy of formation from the pure elements = -0.641 eV/atom

Cell and atoms, written as POSCAR:
```
Ac2GePd6Pb
1.0
5.683 0.000 0.000
2.829 6.016 0.000
2.837 0.289 6.645
Ac Ge Pd Pb
2 1 6 1
Direct
0.246 0.278 0.230 Ac
0.754 0.722 0.770 Ac
0.500 0.500 0.500 Ge
0.253 0.903 0.591 Pd
0.254 0.265 0.737 Pd
0.254 0.735 0.264 Pd
0.746 0.265 0.736 Pd
0.746 0.735 0.263 Pd
0.747 0.097 0.409 Pd
0.000 0.000 0.000 Pb
```

This record from the Alexandria database describes crystalline Ac3Ge2Pd6Pb at its relaxed geometry. The functional is GGA-PBE.

Values from the calculation:
Calculated volume = 285.9 Å³ per cell
Uncorrected energy = -5.344 eV per atom
Total magnetization = 0.000 Bohr magnetons per cell
Space-group type = P-3m1 (164)
Energy of formation from the pure elements = -0.642 eV/atom

Cell and atoms, written as POSCAR:
```
Ac3Ge2Pd6Pb
1.0
6.060 0.000 0.000
-3.030 5.248 0.000
0.000 0.000 8.992
Ac Ge Pd Pb
3 2 6 1
Direct
0.000 0.000 0.000 Ac
0.333 0.667 0.651 Ac
0.667 0.333 0.349 Ac
0.333 0.667 0.047 Ge
0.667 0.333 0.953 Ge
0.179 0.357 0.271 Pd
0.179 0.821 0.271 Pd
0.357 0.179 0.729 Pd
0.643 0.821 0.271 Pd
0.821 0.179 0.729 Pd
0.821 0.643 0.729 Pd
0.000 0.000 0.500 Pb
```

This record from the Alexandria database describes crystalline AcPmGePb at its relaxed geometry. The functional is GGA-PBE.

Values from the calculation:
Calculated volume = 122.1 Å³ per cell
Uncorrected energy = -4.721 eV per atom
Total magnetization = 0.000 Bohr magnetons per cell
Space-group type = F-43m (216)
Energy of formation from the pure elements = -0.425 eV/atom

Cell and atoms, written as POSCAR:
```
AcPmGePb
1.0
0.000 3.937 3.937
3.937 0.000 3.937
3.937 3.937 0.000
Ac Pm Ge Pb
1 1 1 1
Direct
0.000 0.000 0.000 Ac
0.500 0.500 0.500 Pm
0.750 0.750 0.750 Ge
0.250 0.250 0.250 Pb
```

This record from the Alexandria database describes crystalline AcPrGePb at its relaxed geometry. The functional is GGA-PBE.

Values from the calculation:
Calculated volume = 124.3 Å³ per cell
Uncorrected energy = -4.734 eV per atom
Total magnetization = 0.000 Bohr magnetons per cell
Space-group type = F-43m (216)
Energy of formation from the pure elements = -0.430 eV/atom

Cell and atoms, written as POSCAR:
```
AcPrGePb
1.0
0.000 3.962 3.962
3.962 0.000 3.962
3.962 3.962 0.000
Ac Pr Ge Pb
1 1 1 1
Direct
0.000 0.000 0.000 Ac
0.500 0.500 0.500 Pr
0.250 0.250 0.250 Ge
0.750 0.750 0.750 Pb
```

This record from the Alexandria database describes crystalline AcGe2Pt7Pb2 at its relaxed geometry. The functional is GGA-PBE.

Values from the calculation:
Calculated volume = 264.3 Å³ per cell
Uncorrected energy = -5.674 eV per atom
Total magnetization = 0.000 Bohr magnetons per cell
Space-group type = C2/m (12)
Energy of formation from the pure elements = -0.421 eV/atom

Cell and atoms, written as POSCAR:
```
AcGe2Pt7Pb2
1.0
2.882 -2.884 0.000
2.882 2.884 0.000
-2.864 0.000 15.895
Ac Ge Pt Pb
1 2 7 2
Direct
0.000 0.000 0.000 Ac
0.380 0.380 0.759 Ge
0.620 0.620 0.241 Ge
0.075 0.575 0.151 Pt
0.302 0.302 0.606 Pt
0.425 0.925 0.849 Pt
0.500 0.500 0.000 Pt
0.575 0.075 0.151 Pt
0.698 0.698 0.394 Pt
0.925 0.425 0.849 Pt
0.212 0.212 0.423 Pb
0.788 0.788 0.577 Pb
```

This record from the Alexandria database describes crystalline Ac2GePt4Pb2 at its relaxed geometry. The functional is GGA-PBE.

Values from the calculation:
Calculated volume = 219.5 Å³ per cell
Uncorrected energy = -5.557 eV per atom
Total magnetization = 0.000 Bohr magnetons per cell
Space-group type = I4/mmm (139)
Energy of formation from the pure elements = -0.622 eV/atom

Cell and atoms, written as POSCAR:
```
Ac2GePt4Pb2
1.0
-3.491 3.491 4.501
3.491 -3.491 4.501
3.491 3.491 -4.501
Ac Ge Pt Pb
2 1 4 2
Direct
0.250 0.750 0.500 Ac
0.750 0.250 0.500 Ac
0.000 0.000 0.000 Ge
0.251 0.251 0.501 Pt
0.251 0.749 0.000 Pt
0.749 0.251 0.000 Pt
0.749 0.749 0.499 Pt
0.327 0.327 0.000 Pb
0.673 0.673 0.000 Pb
```